# TaTi4Pt7 GGA-PBE optimized geometry
# DFT formation energy = -698.0 kJ/mol of formula units
# D(E_F) = 0.78 states/eV per atom
data_TaTi4Pt7
_space_group_name_H-M_alt 'C 1 2/m 1'
_space_group_IT_number 12
_space_group_name_Hall '-C 2y'
_cell_length_a 10.688
_cell_length_b 4.802
_cell_length_c 9.381
_cell_angle_alpha 90.00
_cell_angle_beta 120.33
_cell_angle_gamma 90.00
loop_
_atom_site_label
_atom_site_type_symbol
_atom_site_fract_x
_atom_site_fract_y
_atom_site_fract_z
Ta1 Ta 0.000 0.000 0.000
Ti1 Ti 0.088 0.500 0.772
Ti2 Ti 0.245 0.500 0.334
Pt1 Pt 0.000 0.500 0.000
Pt2 Pt 0.070 0.000 0.325
Pt3 Pt 0.139 0.500 0.537
Pt4 Pt 0.215 0.000 0.909